Material: CdAsRu3
Method: DFT, PBE
State: optimized geometry

abc: 4.544 4.544 4.544
angles: 90.00 90.00 90.00
Last column: magnetic moment on the atom in μB.
Atoms (fractional coordinates):
Ru  0.000  0.500  0.000  0.60
Ru  0.000  0.000  0.500  0.60
Ru  0.500  0.000  0.000  0.59
As  0.000  0.000  0.000  -0.03
Cd  0.500  0.500  0.500  -0.02

The calculation puts the distance to the lowest polymorph of the same formula at 0.000 eV/f.u. The symmetry is Pm-3m (221). The density of states at the Fermi level is 1.066 states/eV/atom. The raw total energy is -5.931 eV/atom. The calculated formation energy comes out at 748 meV per atom. The crystal system is cubic.